(1)
# BeCuReTc2, optimized geometry, DFT PBE
data_BeCuReTc2
_chemical_formula_sum 'Be1 Cu1 Re1 Tc2'
_cell_length_a 4.0968
_cell_length_b 4.1284
_cell_length_c 4.0968
_cell_angle_alpha 90.00
_cell_angle_beta 90.00
_cell_angle_gamma 90.00
_space_group_name_H-M_alt 'P 1'
_space_group_IT_number 1
loop_
_space_group_symop_operation_xyz
'x,y,z'
loop_
_atom_site_label
_atom_site_fract_x
_atom_site_fract_y
_atom_site_fract_z
_atom_site_occupancy
Tc1 0.5000 0.0000 0.0000 1
Tc2 0.0000 0.0000 0.5000 1
Re1 0.0000 0.5000 0.0000 1
Be1 0.0000 0.0000 0.0000 1
Cu1 0.5000 0.5000 0.5000 1
# **Formation enthalpy at 0 K**: 0.85 eV per atom

---

(2)
# Sc2Tc, optimized geometry, DFT PBE
data_Sc2Tc
_chemical_formula_sum 'Sc4 Tc2'
_cell_length_a 12.5289
_cell_length_b 12.5289
_cell_length_c 12.5289
_cell_angle_alpha 165.16
_cell_angle_beta 165.16
_cell_angle_gamma 21.04
_space_group_name_H-M_alt 'P 1'
_space_group_IT_number 1
loop_
_space_group_symop_operation_xyz
'x,y,z'
loop_
_atom_site_label
_atom_site_fract_x
_atom_site_fract_y
_atom_site_fract_z
_atom_site_occupancy
Tc1 0.0000 0.0000 0.0000 1
Sc1 0.1877 0.6877 0.5000 1
Sc2 0.3123 0.8123 0.5000 1
Sc3 0.4377 0.4377 0.0000 1
Tc2 0.7500 0.2500 0.5000 1
Sc4 0.5623 0.5623 0.0000 1
# **Formation enthalpy at 0 K**: -0.12 eV per atom

---

(3)
# Np2HRh9, optimized geometry, DFT PBE
data_Np2HRh9
_chemical_formula_sum 'Np2 H1 Rh9'
_cell_length_a 4.0238
_cell_length_b 4.0238
_cell_length_c 11.1593
_cell_angle_alpha 90.00
_cell_angle_beta 90.00
_cell_angle_gamma 90.00
_space_group_name_H-M_alt 'P 1'
_space_group_IT_number 1
loop_
_space_group_symop_operation_xyz
'x,y,z'
loop_
_atom_site_label
_atom_site_fract_x
_atom_site_fract_y
_atom_site_fract_z
_atom_site_occupancy
Rh1 0.5000 0.5000 0.0000 1
Rh2 0.5000 0.0000 0.5000 1
H1 0.0000 0.0000 0.0000 1
Rh3 0.5000 0.0000 0.1456 1
Rh4 0.0000 0.5000 0.5000 1
Rh5 0.0000 0.5000 0.8544 1
Np1 0.0000 0.0000 0.6828 1
Np2 0.0000 0.0000 0.3172 1
Rh6 0.0000 0.5000 0.1456 1
Rh7 0.5000 0.0000 0.8544 1
Rh8 0.5000 0.5000 0.6756 1
Rh9 0.5000 0.5000 0.3244 1
# **Calculated total energy**: -96.32 eV for the cell shown

---

(4)
# Pr2Y4Th, optimized geometry, DFT PBE
data_Pr2Y4Th
_chemical_formula_sum 'Pr2 Y4 Th1'
_cell_length_a 3.6370
_cell_length_b 3.6429
_cell_length_c 20.5619
_cell_angle_alpha 95.14
_cell_angle_beta 90.00
_cell_angle_gamma 119.95
_space_group_name_H-M_alt 'P 1'
_space_group_IT_number 1
loop_
_space_group_symop_operation_xyz
'x,y,z'
loop_
_atom_site_label
_atom_site_fract_x
_atom_site_fract_y
_atom_site_fract_z
_atom_site_occupancy
Y1 0.0001 0.0001 0.2391 1
Pr1 0.7142 0.4285 0.3821 1
Y2 0.5246 0.0492 0.8093 1
Y3 0.9018 0.8036 0.9484 1
Th1 0.8057 0.6114 0.6680 1
Y4 0.4319 0.8639 0.5271 1
Pr2 0.6231 0.2462 0.0940 1
# **Formation enthalpy at 0 K**: 0.03 eV per atom

---

(5)
# Na3Np3RuN8, optimized geometry, DFT PBE
data_Na3Np3RuN8
_chemical_formula_sum 'Na3 Np3 Ru1 N8'
_cell_length_a 6.6582
_cell_length_b 6.6570
_cell_length_c 6.8484
_cell_angle_alpha 119.07
_cell_angle_beta 90.00
_cell_angle_gamma 120.00
_space_group_name_H-M_alt 'P 1'
_space_group_IT_number 1
loop_
_space_group_symop_operation_xyz
'x,y,z'
loop_
_atom_site_label
_atom_site_fract_x
_atom_site_fract_y
_atom_site_fract_z
_atom_site_occupancy
N1 0.2700 0.5401 0.3100 1
Np1 0.5000 0.0000 0.5000 1
N2 0.7198 0.9488 0.6781 1
Na1 0.5000 0.5000 0.0000 1
Np2 0.0000 0.5000 0.5000 1
Ru1 0.0000 0.0000 0.5000 1
N3 0.7709 0.0511 0.3219 1
Na2 0.0000 0.0000 0.0000 1
N4 0.2802 0.0512 0.3219 1
Np3 0.5000 0.5000 0.5000 1
Na3 0.0000 0.5000 0.0000 1
N5 0.7708 0.5417 0.3219 1
N6 0.2291 0.9489 0.6781 1
N7 0.2292 0.4583 0.6781 1
N8 0.7300 0.4599 0.6900 1
# **Calculated total energy**: -126.80 eV for the cell shown

---

(6)
# Rb3Sn2Au3, optimized geometry, DFT PBE
data_Rb3Sn2Au3
_chemical_formula_sum 'Rb3 Sn2 Au3'
_cell_length_a 6.6778
_cell_length_b 6.6778
_cell_length_c 8.2248
_cell_angle_alpha 66.05
_cell_angle_beta 66.05
_cell_angle_gamma 60.00
_space_group_name_H-M_alt 'P 1'
_space_group_IT_number 1
loop_
_space_group_symop_operation_xyz
'x,y,z'
loop_
_atom_site_label
_atom_site_fract_x
_atom_site_fract_y
_atom_site_fract_z
_atom_site_occupancy
Rb1 0.5000 0.5000 0.5000 1
Au1 0.5000 0.0000 0.0000 1
Sn1 0.7548 0.7548 0.7357 1
Sn2 0.2452 0.2452 0.2643 1
Au2 0.5000 0.5000 0.0000 1
Au3 0.0000 0.5000 0.0000 1
Rb2 0.9204 0.9204 0.2387 1
Rb3 0.0796 0.0796 0.7613 1
# **Formation enthalpy at 0 K**: -0.23 eV per atom

---

Repeat the second record exactly.
# Sc2Tc, optimized geometry, DFT PBE
data_Sc2Tc
_chemical_formula_sum 'Sc4 Tc2'
_cell_length_a 12.5289
_cell_length_b 12.5289
_cell_length_c 12.5289
_cell_angle_alpha 165.16
_cell_angle_beta 165.16
_cell_angle_gamma 21.04
_space_group_name_H-M_alt 'P 1'
_space_group_IT_number 1
loop_
_space_group_symop_operation_xyz
'x,y,z'
loop_
_atom_site_label
_atom_site_fract_x
_atom_site_fract_y
_atom_site_fract_z
_atom_site_occupancy
Tc1 0.0000 0.0000 0.0000 1
Sc1 0.1877 0.6877 0.5000 1
Sc2 0.3123 0.8123 0.5000 1
Sc3 0.4377 0.4377 0.0000 1
Tc2 0.7500 0.2500 0.5000 1
Sc4 0.5623 0.5623 0.0000 1
# **Formation enthalpy at 0 K**: -0.12 eV per atom